Material: BiPd4Se
Method: DFT, PBE-GGA
State: relaxed

a b c (Å): 4.7089 5.6577 8.9476
angles (deg): 108.35 105.02 90.02
Last column: nearest neighbours and their distance in Å.
Space group P-1 (No. 2)
Symmetry-distinct sites (fractional):
Bi: 0.2501 0.2245 0.0003  8 Pd 2.82-2.91
Pd: 0.0824 0.9761 0.6593  3 Se 2.59-2.77, 1 Bi 2.82, 5 Pd 2.85-2.90
Pd: 0.1562 0.5521 0.8101  1 Se 2.60, 1 Bi 2.85, 4 Pd 2.89-2.90
Pd: 0.3437 0.7433 0.1896  1 Se 2.60, 3 Bi 2.86-2.91, 4 Pd 2.89-2.90
Pd: 0.4177 0.3176 0.3410  3 Se 2.59-2.77, 1 Bi 2.82, 5 Pd 2.85-2.90
Se: 0.0000 0.5000 0.5000  8 Pd 2.59-2.77
Se: 0.5000 0.0000 0.5000  8 Pd 2.59-2.77

Formation energy without anion corrections ... -219 meV/atom
Magnetic moment ... 0.00 Bohr magnetons per cell